1.
Computed, not measured: crystalline BaH6Pd at its relaxed geometry at the GGA-PBE level of DFT.

Lattice parameters (Å, degrees): 5.0719 5.0719 12.5936 90.00 90.00 120.00
Last column: nearest neighbours and their distance in Å.
Space group R-3m (No. 166, hexagonal axes)
Asymmetric unit:
Ba (0.0000, 0.0000, 0.0000)  12 H 2.80
H (0.0227, 0.5113, 0.0945)  1 Pd 1.64
Pd (0.0000, 0.0000, 0.5000)  6 H 1.64

## Properties
For the size of the total moment, the calculation gives 0.00 μB/atom.


2.
Computed, not measured: crystalline Ba2H5Pd2 at its relaxed geometry at the GGA-PBE level of DFT.

Lattice parameters (Å, degrees): 10.6171 3.9489 6.5421 90.00 99.82 90.00
Last column: nearest neighbours and their distance in Å.
Space group C2/m (No. 12)
Asymmetric unit:
Ba (0.0909, 0.0000, 0.2979)  9 H 2.83-3.16, 1 Pd 3.10
H (0.0000, 0.5000, 0.0000)  2 Pd 1.96
H (0.1069, 0.5000, 0.6188)  1 Pd 1.77
H (0.1972, 0.0000, 0.8996)  3 Pd 1.86-2.01
Pd (0.1602, 0.5000, 0.8900)  3 H 1.77-1.96

## Properties
For the size of the total moment, the calculation gives 0.00 μB/atom.


3.
Computed, not measured: crystalline Ba12H5Pd3 at its relaxed geometry at the GGA-PBE level of DFT.

Lattice parameters (Å, degrees): 17.7853 17.7853 17.7853 90.00 90.00 90.00
Last column: nearest neighbours and their distance in Å.
Space group Ia-3d (No. 230)
Asymmetric unit:
Ba (0.0305, 0.0590, 0.6554)  1 H 2.60
H (0.0000, 0.0000, 0.0000)  6 Ba 3.01
H (0.0000, 0.2500, 0.3750)  4 Ba 2.60
Pd (0.0000, 0.2500, 0.1250)  8 Ba 3.40-3.48

## Properties
For the size of the total moment, the calculation gives 0.00 μB/atom.


4.
Computed, not measured: crystalline Ba2H4Pd at its relaxed geometry at the GGA-PBE level of DFT.

Lattice parameters (Å, degrees): 5.5976 5.6963 7.9511 90.00 97.66 90.00
Last column: nearest neighbours and their distance in Å.
Space group P2_1/m (No. 11)
Asymmetric unit:
Ba (0.2196, 0.2500, 0.4886)  9 H 2.79-3.04
Ba (0.2688, 0.7500, 0.1128)  8 H 2.93-3.13, 1 Pd 3.10
H (0.1377, 0.5081, 0.7781)  1 Pd 1.80
H (0.2790, 0.7500, 0.4917)  1 Pd 1.88
H (0.3816, 0.2500, 0.1638)  1 Pd 1.75
Pd (0.3248, 0.7500, 0.7299)  4 H 1.75-1.88

## Properties
For the size of the total moment, the calculation gives 0.00 μB/atom.


5.
Computed, not measured: crystalline BaH2Pd3 at its relaxed geometry at the GGA-PBE level of DFT.

Lattice parameters (Å, degrees): 13.5363 3.7380 7.7591 90.00 109.85 90.00
Last column: nearest neighbours and their distance in Å.
Space group C2/m (No. 12)
Asymmetric unit:
Ba (0.1389, 0.0000, 0.0297)  1 H 2.82, 3 Pd 3.06-3.10
H (0.0121, 0.5000, 0.2951)  3 Pd 1.89-1.95
H (0.1618, 0.0000, 0.6821)  3 Pd 1.76-1.96
Pd (0.0521, 0.0000, 0.3522)  2 H 1.95
Pd (0.1145, 0.5000, 0.6518)  3 H 1.89-1.96
Pd (0.2182, 0.5000, 0.3599)  1 H 1.76

## Properties
For the size of the total moment, the calculation gives 0.00 μB/atom.


6.
Computed, not measured: crystalline Ba2HPd2 at its relaxed geometry at the GGA-PBE level of DFT.

Lattice parameters (Å, degrees): 7.3056 8.1526 4.0513 90.00 90.00 90.00
Last column: nearest neighbours and their distance in Å.
Space group Cmmm (No. 65)
Asymmetric unit:
Ba (0.0000, 0.2450, 0.0000)  2 H 2.85
H (0.0000, 0.0000, 0.5000)  2 Pd 1.90
Pd (0.2400, 0.5000, 0.5000)  1 H 1.90

## Properties
For the size of the total moment, the calculation gives 0.00 μB/atom.


7.
Computed, not measured: crystalline Ba8H2Pd at its relaxed geometry at the GGA-PBE level of DFT.

Lattice parameters (Å, degrees): 15.4351 9.2667 7.4630 90.00 92.26 90.00
Last column: nearest neighbours and their distance in Å.
Space group C2/m (No. 12)
Asymmetric unit:
Ba (0.0945, 0.2306, 0.2647)  1 H 2.65
Ba (0.1608, 0.0000, 0.7840)  1 H 2.67
Ba (0.1617, 0.5000, 0.7667)  1 H 2.59
H (0.1745, 0.0000, 0.1424)  4 Ba 2.59-2.67
Pd (0.0000, 0.0000, 0.5000)  6 Ba 3.16-3.20

## Properties
For the size of the total moment, the calculation gives 0.12 μB/atom.


8.
Computed, not measured: crystalline Ba2H5Pd2 at its relaxed geometry at the GGA-PBE level of DFT.

Lattice parameters (Å, degrees): 3.8751 3.8751 8.5078 90.00 90.00 90.00
Last column: nearest neighbours and their distance in Å.
Space group P4/mmm (No. 123)
Asymmetric unit:
Ba (0.0000, 0.0000, 0.0000)  8 H 2.86
Ba (0.0000, 0.0000, 0.5000)  12 H 2.74-2.89
H (0.0000, 0.5000, 0.2477)  2 Pd 1.94
H (0.5000, 0.5000, 0.5000)  2 Pd 2.05
Pd (0.5000, 0.5000, 0.2596)  5 H 1.94-2.05

## Properties
For the size of the total moment, the calculation gives 0.00 μB/atom.


Number 1: uncorrected energy -3.6810 eV per atom. Number 2: uncorrected energy -3.8680 eV per atom. Number 3: uncorrected energy -3.0816 eV per atom. Number 4: uncorrected energy -3.7031 eV per atom. Number 5: uncorrected energy -4.2445 eV per atom. Number 6: uncorrected energy -3.9653 eV per atom. Number 7: uncorrected energy -2.7209 eV per atom. Number 8: uncorrected energy -3.9205 eV per atom.